(1)
{"formula": "AlTlPb", "functional": "GGA-PBE", "state": "relaxed", "de_polymorph_kj_per_mol_fu": 31, "final_energy_ev_per_atom": -3.057, "sg": "P3m1 (156)", "mass_density_g_cm3": 8.854, "lattice_angstrom": [[-1.653, -1.344, 4.728], [5.071, -0.039, -1.082], [0.249, 3.365, 1.044]], "species": ["Al", "Tl", "Pb"], "fractional_positions": [[0.000, 0.000, 0.056], [0.333, 0.667, 0.704], [0.667, 0.333, 0.239]]}



(2)
{"formula": "Al2TlPb", "functional": "GGA-PBE", "state": "relaxed", "de_polymorph_kj_per_mol_fu": 62, "final_energy_ev_per_atom": -3.076, "sg": "F-43m (216)", "mass_density_g_cm3": 7.723, "lattice_angstrom": [[5.212, 0.000, 0.000], [2.606, 4.513, 0.000], [2.606, 1.504, 4.255]], "species": ["Tl", "Al", "Al", "Pb"], "fractional_positions": [[0.750, 0.750, 0.750], [0.250, 0.250, 0.250], [0.000, 0.000, 0.000], [0.500, 0.500, 0.500]]}